Model 1:
Here is a relaxed structure of Cd2IrCl from Alexandria. Energies are from PBE.

Geometry as POSCAR:
```
Cd2IrCl
1.0
-3.104 3.104 6.420
3.104 -3.104 6.420
3.104 3.104 -6.420
Cd Ir Cl
4 2 2
Direct
0.098 0.625 0.973
0.375 0.348 0.473
0.652 0.125 0.027
0.875 0.902 0.527
0.000 0.000 0.000
0.750 0.250 0.500
0.250 0.750 0.500
0.500 0.500 0.000
```

Results
**DOS(E_F)**: 0.000 states/eV per atom

***

Model 2:
Here is a relaxed structure of Cd2IrCl from Alexandria. Energies are from PBE.

Geometry as POSCAR:
```
Cd2IrCl
1.0
1.565 0.904 9.102
-1.565 0.904 9.102
0.000 -1.807 9.102
Cd Ir Cl
2 1 1
Direct
0.000 0.000 0.000
0.238 0.238 0.238
0.493 0.493 0.493
0.755 0.755 0.755
```

Results
**DOS(E_F)**: 0.699 states/eV per atom

***

Relative energies in meV/atom: model 1 95; model 2 0

***

Model 1:
Here is a relaxed structure of LaTcTe2 from Alexandria. Energies are from PBE.

Geometry as POSCAR:
```
LaTcTe2
1.0
-2.212 2.212 5.332
2.212 -2.212 5.332
2.212 2.212 -5.332
La Tc Te
1 1 2
Direct
0.000 0.000 0.000
0.250 0.750 0.500
0.500 0.500 0.000
0.750 0.250 0.500
```

Results
**DOS(E_F)**: 1.263 states/eV per atom

***

Model 2:
Here is a relaxed structure of LaTcTe2 from Alexandria. Energies are from PBE.

Geometry as POSCAR:
```
LaTcTe2
1.0
3.426 0.000 0.000
0.000 3.426 0.000
0.000 0.000 9.366
La Tc Te
1 1 2
Direct
0.000 0.000 0.000
0.500 0.500 0.233
0.000 0.000 0.369
0.500 0.500 0.749
```

Results
**DOS(E_F)**: 0.450 states/eV per atom

***

Relative energies in meV/atom: model 1 241; model 2 0

***

Model 1:
Here is a relaxed structure of Te2MoBr from Alexandria. Energies are from PBE.

Geometry as POSCAR:
```
Te2MoBr
1.0
1.857 1.072 9.289
-1.857 1.072 9.289
0.000 -2.145 9.289
Te Mo Br
2 1 1
Direct
0.104 0.104 0.104
0.896 0.896 0.896
0.500 0.500 0.500
0.000 0.000 0.000
```

Results
**DOS(E_F)**: 1.205 states/eV per atom

***

Model 2:
Here is a relaxed structure of Te2MoBr from Alexandria. Energies are from PBE.

Geometry as POSCAR:
```
Te2MoBr
1.0
-1.704 2.471 6.778
1.704 -2.471 6.778
1.704 2.471 -6.778
Te Mo Br
2 1 1
Direct
0.000 0.000 0.000
0.632 0.132 0.500
0.156 0.656 0.500
0.312 0.312 0.000
```

Results
**DOS(E_F)**: 0.972 states/eV per atom

***

Relative energies in meV/atom: model 1 0; model 2 144

***

Model 1:
Here is a relaxed structure of BaCoRu2 from Alexandria. Energies are from PBE.

Geometry as POSCAR:
```
BaCoRu2
1.0
-1.657 2.777 4.593
1.657 -2.777 4.593
1.657 2.777 -4.593
Ba Co Ru
1 1 2
Direct
0.000 0.000 0.000
0.312 0.812 0.500
0.490 0.490 0.000
0.689 0.189 0.500
```

Results
**DOS(E_F)**: 1.358 states/eV per atom

***

Model 2:
Here is a relaxed structure of BaCoRu2 from Alexandria. Energies are from PBE.

Geometry as POSCAR:
```
BaCoRu2
1.0
0.000 3.322 3.322
3.322 0.000 3.322
3.322 3.322 0.000
Ba Co Ru
1 1 2
Direct
0.000 0.000 0.000
0.500 0.500 0.500
0.250 0.250 0.250
0.750 0.750 0.750
```

Results
**DOS(E_F)**: 0.612 states/eV per atom

***

Relative energies in meV/atom: model 1 0; model 2 89

***

Model 1:
Here is a relaxed structure of Mn2TcP from Alexandria. Energies are from PBE.

Geometry as POSCAR:
```
Mn2TcP
1.0
3.605 0.000 0.000
0.000 3.605 0.000
0.000 0.000 3.849
Mn Tc P
2 1 1
Direct
0.000 0.500 0.000
0.500 0.000 0.000
0.000 0.000 0.500
0.500 0.500 0.500
```

Results
**DOS(E_F)**: 0.810 states/eV per atom

***

Model 2:
Here is a relaxed structure of Mn2TcP from Alexandria. Energies are from PBE.

Geometry as POSCAR:
```
Mn2TcP
1.0
2.480 -3.657 0.000
2.480 3.657 0.000
0.000 0.000 2.848
Mn Tc P
2 1 1
Direct
0.000 0.500 0.000
0.500 0.000 0.000
0.000 0.000 0.500
0.500 0.500 0.500
```

Results
**DOS(E_F)**: 0.972 states/eV per atom

***

Relative energies in meV/atom: model 1 0; model 2 75

***

Model 1:
Here is a relaxed structure of YScSn2 from Alexandria. Energies are from PBE.

Geometry as POSCAR:
```
YScSn2
1.0
4.750 0.000 0.000
0.000 4.750 0.000
0.000 0.000 4.377
Y Sc Sn
1 1 2
Direct
0.000 0.000 0.000
0.500 0.500 0.000
0.000 0.500 0.500
0.500 0.000 0.500
```

Results
**DOS(E_F)**: 0.923 states/eV per atom

***

Model 2:
Here is a relaxed structure of YScSn2 from Alexandria. Energies are from PBE.

Geometry as POSCAR:
```
YScSn2
1.0
0.000 3.703 3.703
3.703 0.000 3.703
3.703 3.703 0.000
Y Sc Sn
1 1 2
Direct
0.000 0.000 0.000
0.500 0.500 0.500
0.250 0.250 0.250
0.750 0.750 0.750
```

Results
**DOS(E_F)**: 1.834 states/eV per atom

***

Relative energies in meV/atom: model 1 0; model 2 87